(1)
LiDyY after structural relaxation. Source: the Open Quantum Materials Database, functional GGA-PBE.

- polymorph energy (0 for the lowest one) (eV per atom) = 0.000

Cell: 5.048 5.048 5.048 Å, 60.00 60.00 60.00°
Element x y z (fractional)
Y1 0.750 0.750 0.750
Dy1 0.250 0.250 0.250
Li1 0.000 0.000 0.000

---

(2)
NbAgPO after structural relaxation. Source: the Open Quantum Materials Database, functional GGA-PBE.

- polymorph energy (0 for the lowest one) (eV per atom) = 0.136

Cell: 3.623 3.623 8.799 Å, 90.00 90.00 90.00°
Site moments in Bohr magnetons follow the coordinates.
Element x y z (fractional)
O1 0.000 0.000 0.000  -0.01
O2 0.500 0.500 0.000  -0.01
Nb1 0.500 0.000 0.862  0.78
Nb2 0.000 0.500 0.138  0.78
P1 0.000 0.500 0.730  -0.01
P2 0.500 0.000 0.270  -0.01
Ag1 0.500 0.500 0.500  0.03
Ag2 0.000 0.000 0.500  0.03

---

(3)
ZrPaNi after structural relaxation. Source: the Open Quantum Materials Database, functional GGA-PBE.

- polymorph energy (0 for the lowest one) (eV per atom) = 0.000
- formation energy (eV per atom) = 0.177

Cell: 4.502 4.502 4.502 Å, 60.00 60.00 60.00°
Site moments in Bohr magnetons follow the coordinates.
Element x y z (fractional)
Zr1 0.250 0.250 0.250  0.22
Ni1 0.000 0.000 0.000  0.15
Pa1 0.750 0.750 0.750  0.27

---

(4)
Pr3Mg3In2Ag after structural relaxation. Source: the Open Quantum Materials Database, functional GGA-PBE.

- uncorrected energy (eV per cell) = -30.711

Cell: 7.745 7.745 4.693 Å, 90.00 90.00 120.00°
Element x y z (fractional)
Pr1 0.587 0.587 0.000
Pr2 0.413 0.000 0.000
Pr3 0.000 0.413 0.000
Ag1 0.000 0.000 0.000
Mg1 0.000 0.764 0.500
Mg2 0.764 0.000 0.500
Mg3 0.236 0.236 0.500
In1 0.667 0.333 0.500
In2 0.333 0.667 0.500